No. 1
KLi2Mg after structural relaxation. Source: the Alexandria database, functional PBE.

a b c (Å): 5.4297 5.4297 7.2664
angles (deg): 83.97 83.97 36.27
With the nearest neighbours (Å) after each atom.
Sites, in units of the cell vectors:
Mg1 0.7500 0.7500 0.7500  6 Li 3.08-3.11, 2 Mg 3.38
Li1 0.4844 0.4844 0.5860  2 Li 2.97, 3 Mg 3.08-3.11
Li2 0.0156 0.0156 0.9140  2 Li 2.97, 3 Mg 3.08-3.11
K1 0.2500 0.2500 0.2500  2 K 3.38, 2 Li 3.62

Results
The space-group type is No. 12. The formation energy from the elements is 12.1 kJ/mol of atoms. The value obtained for the calculated volume is 126.0 Å³/cell.

=====

No. 2
Sm4NpS7 after structural relaxation. Source: the Alexandria database, functional PBE.

a b c (Å): 3.9030 6.8552 11.7892
angles (deg): 104.30 90.00 106.54
With the nearest neighbours (Å) after each atom.
Sites, in units of the cell vectors:
Np1 0.8850 0.7699 0.5767  6 S 2.73-2.86
Sm1 0.1147 0.2294 0.4240  6 S 2.76-2.87
Sm2 0.3021 0.6043 0.1913  7 S 2.79-3.02
Sm3 0.6985 0.3970 0.8093  7 S 2.80-3.01
Sm4 0.9998 0.9995 0.9997  6 S 2.74-2.82
S1 0.3404 0.6809 0.9494  5 Sm 2.81-3.02
S2 0.9586 0.9171 0.2160  4 Sm 2.74-2.79
S3 0.0409 0.0819 0.7823  1 Np 2.74, 3 Sm 2.75-2.80
S4 0.4972 0.9943 0.5007  2 Np 2.73, 2 Sm 2.78
S5 0.6597 0.3194 0.0503  5 Sm 2.82-3.01
S6 0.7389 0.4778 0.3506  4 Sm 2.82-2.97, 1 Np 2.86
S7 0.2643 0.5286 0.6498  2 Np 2.79, 3 Sm 2.87-2.99

Results
The space-group type is No. 8. The value obtained for the calculated volume is 292.2 Å³/cell. The calculation puts the uncorrected formation energy at -1.908 eV per atom.